P) Material: Bi2MoOs
Method: DFT, PBE-GGA
State: optimized geometry

calculated density: 14.78 Mg/m³

Cell lengths 4.8182, 4.8182, 4.8182 Å; angles 60.00, 60.00, 60.00 degrees
Last column: nearest neighbours and their distance in Å.
Element x y z (fractional)
Bi  0.7500  0.7500  0.7500  4 Mo 2.95, 4 Os 2.95
Os  0.5000  0.5000  0.5000  8 Bi 2.95
Bi  0.2500  0.2500  0.2500  4 Os 2.95, 4 Mo 2.95
Mo  0.0000  0.0000  0.0000  8 Bi 2.95

---

Q) Material: Bi2MoOs
Method: DFT, PBE-GGA
State: optimized geometry

calculated density: 9.47 Mg/m³

Cell lengths 6.2601, 6.2601, 7.6997 Å; angles 66.01, 66.01, 90.00 degrees
Last column: nearest neighbours and their distance in Å.
Element x y z (fractional)
Bi  0.8750  0.8945  0.7500  2 Os 2.65, 2 Mo 2.79
Mo  0.2500  0.7500  0.5000  4 Bi 2.79
Bi  0.6445  0.1250  0.2500  2 Os 2.65, 2 Mo 2.79
Bi  0.1055  0.6250  0.2500  2 Os 2.65, 2 Mo 2.79
Os  0.0000  0.0000  0.0000  4 Bi 2.65
Bi  0.3750  0.3555  0.7500  2 Os 2.65, 2 Mo 2.79
Os  0.7500  0.2500  0.5000  4 Bi 2.65
Mo  0.5000  0.5000  0.0000  4 Bi 2.79

---

Top of the stability list: P), leading by 0.641 eV/atom.

---

P) Material: BiMo2Os2
Method: DFT, PBE-GGA
State: optimized geometry

calculated density: 13.42 Mg/m³

Cell lengths 4.0627, 4.0627, 6.5251 Å; angles 71.86, 71.86, 90.00 degrees
Last column: nearest neighbours and their distance in Å.
Element x y z (fractional)
Bi  0.0000  0.0000  0.0000  8 Mo 3.20, 8 Os 3.56
Os  0.2500  0.7500  0.5000  4 Mo 2.54
Mo  0.3802  0.3802  0.2396  4 Os 2.54, 1 Mo 2.81
Os  0.7500  0.2500  0.5000  4 Mo 2.54
Mo  0.6198  0.6198  0.7604  4 Os 2.54, 1 Mo 2.81

---

Q) Material: BiMo2Os2
Method: DFT, PBE-GGA
State: optimized geometry

calculated density: 14.62 Mg/m³

Cell lengths 7.7919, 7.7919, 2.9232 Å; angles 90.00, 90.00, 90.00 degrees
Last column: nearest neighbours and their distance in Å.
Element x y z (fractional)
Mo  0.8523  0.6477  0.0000  6 Os 2.66-2.79, 2 Mo 2.92
Os  0.8634  0.3634  0.5000  6 Mo 2.66-2.79, 2 Os 2.92
Mo  0.1477  0.3523  0.0000  6 Os 2.66-2.79, 2 Mo 2.92
Bi  0.0000  0.0000  0.0000  2 Bi 2.92, 4 Mo 2.98
Mo  0.6477  0.1477  0.0000  6 Os 2.66-2.79, 2 Mo 2.92
Os  0.6366  0.8634  0.5000  6 Mo 2.66-2.79, 2 Os 2.92
Bi  0.5000  0.5000  0.0000  2 Bi 2.92, 4 Mo 2.98
Mo  0.3523  0.8523  0.0000  6 Os 2.66-2.79, 2 Mo 2.92
Os  0.3634  0.1366  0.5000  6 Mo 2.66-2.79, 2 Os 2.92
Os  0.1366  0.6366  0.5000  6 Mo 2.66-2.79, 2 Os 2.92

---

Top of the stability list: Q), leading by 0.085 eV/atom.

---

P) Material: BiMoOs3
Method: DFT, PBE-GGA
State: optimized geometry

calculated density: 12.75 Mg/m³

Cell lengths 4.8489, 4.8489, 4.8489 Å; angles 90.00, 90.00, 90.00 degrees
Last column: nearest neighbours and their distance in Å.
Element x y z (fractional)
Os  0.0000  0.0000  0.5000  2 Bi 2.42
Mo  0.5000  0.5000  0.5000  12 Os 3.43
Bi  0.0000  0.0000  0.0000  6 Os 2.42
Os  0.0000  0.5000  0.0000  2 Bi 2.42
Os  0.5000  0.0000  0.0000  2 Bi 2.42

---

Q) Material: BiMoOs3
Method: DFT, PBE-GGA
State: optimized geometry

calculated density: 13.55 Mg/m³

Cell lengths 4.7520, 4.7520, 4.7520 Å; angles 90.00, 90.00, 90.00 degrees
Last column: nearest neighbours and their distance in Å.
Element x y z (fractional)
Os  0.5000  0.0000  0.0000  2 Mo 2.38
Os  0.0000  0.5000  0.0000  2 Mo 2.38
Mo  0.0000  0.0000  0.0000  6 Os 2.38
Os  0.0000  0.0000  0.5000  2 Mo 2.38
Bi  0.5000  0.5000  0.5000  12 Os 3.36

---

Top of the stability list: Q), leading by 1.423 eV/atom.

---

P) Material: BiMoOsPt2
Method: DFT, PBE-GGA
State: optimized geometry

calculated density: 12.25 Mg/m³

Cell lengths 4.7761, 5.2599, 4.7761 Å; angles 90.00, 90.00, 90.00 degrees
Last column: nearest neighbours and their distance in Å.
Element x y z (fractional)
Os  0.5000  0.5000  0.5000  4 Bi 3.38, 8 Pt 3.55
Pt  0.0000  0.0000  0.5000  2 Mo 2.39
Mo  0.0000  0.0000  0.0000  4 Pt 2.39, 2 Bi 2.63
Pt  0.5000  0.0000  0.0000  2 Mo 2.39
Bi  0.0000  0.5000  0.0000  2 Mo 2.63

---

Q) Material: BiMoOsPt2
Method: DFT, PBE-GGA
State: optimized geometry

calculated density: 11.80 Mg/m³

Cell lengths 4.9319, 5.1201, 4.9319 Å; angles 90.00, 90.00, 90.00 degrees
Last column: nearest neighbours and their distance in Å.
Element x y z (fractional)
Bi  0.0000  0.0000  0.0000  4 Pt 2.47, 2 Mo 2.56
Os  0.5000  0.5000  0.5000  4 Mo 3.49, 8 Pt 3.55
Pt  0.0000  0.0000  0.5000  2 Bi 2.47
Mo  0.0000  0.5000  0.0000  2 Bi 2.56
Pt  0.5000  0.0000  0.0000  2 Bi 2.47

---

Top of the stability list: P), leading by 0.570 eV/atom.

---

P) Material: BiMoP3
Method: DFT, PBE-GGA
State: optimized geometry

calculated density: 5.13 Mg/m³

Cell lengths 5.0483, 5.0483, 5.0483 Å; angles 90.00, 90.00, 90.00 degrees
Last column: nearest neighbours and their distance in Å.
Element x y z (fractional)
P  0.5000  0.0000  0.0000  2 Bi 2.52
Bi  0.0000  0.0000  0.0000  6 P 2.52
P  0.0000  0.0000  0.5000  2 Bi 2.52
P  0.0000  0.5000  0.0000  2 Bi 2.52
Mo  0.5000  0.5000  0.5000  12 P 3.57

---

Q) Material: BiMoP3
Method: DFT, PBE-GGA
State: optimized geometry

calculated density: 6.17 Mg/m³

Cell lengths 4.7472, 4.7472, 4.7472 Å; angles 90.00, 90.00, 90.00 degrees
Last column: nearest neighbours and their distance in Å.
Element x y z (fractional)
Bi  0.5000  0.5000  0.5000  12 P 3.36
P  0.0000  0.0000  0.5000  2 Mo 2.37
P  0.0000  0.5000  0.0000  2 Mo 2.37
P  0.5000  0.0000  0.0000  2 Mo 2.37
Mo  0.0000  0.0000  0.0000  6 P 2.37

---

Top of the stability list: Q), leading by 1.678 eV/atom.

---

P) Material: BiMo3P
Method: DFT, PBE-GGA
State: optimized geometry

calculated density: 6.87 Mg/m³

Cell lengths 5.0335, 5.0335, 5.0335 Å; angles 90.00, 90.00, 90.00 degrees
Last column: nearest neighbours and their distance in Å.
Element x y z (fractional)
Mo  0.0000  0.0000  0.5000  2 Bi 2.52
Mo  0.5000  0.0000  0.0000  2 Bi 2.52
Mo  0.0000  0.5000  0.0000  2 Bi 2.52
Bi  0.0000  0.0000  0.0000  6 Mo 2.52
P  0.5000  0.5000  0.5000  12 Mo 3.56

---

Q) Material: BiMo3P
Method: DFT, PBE-GGA
State: optimized geometry

calculated density: 9.31 Mg/m³

Cell lengths 4.5489, 4.5489, 4.5489 Å; angles 90.00, 90.00, 90.00 degrees
Last column: nearest neighbours and their distance in Å.
Element x y z (fractional)
Bi  0.5000  0.5000  0.5000  12 Mo 3.22
P  0.0000  0.0000  0.0000  6 Mo 2.27
Mo  0.5000  0.0000  0.0000  2 P 2.27
Mo  0.0000  0.5000  0.0000  2 P 2.27
Mo  0.0000  0.0000  0.5000  2 P 2.27

---

Top of the stability list: Q), leading by 2.164 eV/atom.

---

P) Material: BiMoPS2
Method: DFT, PBE-GGA
State: optimized geometry

calculated density: 6.18 Mg/m³

Cell lengths 4.5985, 4.5985, 5.0865 Å; angles 90.00, 90.00, 90.00 degrees
Last column: nearest neighbours and their distance in Å.
Element x y z (fractional)
S  0.0000  0.5000  0.0000  2 Mo 2.30
Mo  0.0000  0.0000  0.0000  4 S 2.30, 2 P 2.54
Bi  0.5000  0.5000  0.5000  4 P 3.25, 8 S 3.43
P  0.0000  0.0000  0.5000  2 Mo 2.54
S  0.5000  0.0000  0.0000  2 Mo 2.30

---

Q) Material: BiMoPS2
Method: DFT, PBE-GGA
State: optimized geometry

calculated density: 4.75 Mg/m³

Cell lengths 5.1499, 5.1499, 5.2739 Å; angles 90.00, 90.00, 90.00 degrees
Last column: nearest neighbours and their distance in Å.
Element x y z (fractional)
Mo  0.5000  0.5000  0.5000  4 P 3.64, 8 S 3.69
P  0.0000  0.0000  0.5000  2 Bi 2.64
S  0.5000  0.0000  0.0000  2 Bi 2.57
S  0.0000  0.5000  0.0000  2 Bi 2.57
Bi  0.0000  0.0000  0.0000  4 S 2.57, 2 P 2.64

---

Top of the stability list: P), leading by 1.195 eV/atom.

---

P) Material: BiMoPb3
Method: DFT, PBE-GGA
State: optimized geometry

calculated density: 9.44 Mg/m³

Cell lengths 5.4631, 5.4631, 5.4631 Å; angles 90.00, 90.00, 90.00 degrees
Last column: nearest neighbours and their distance in Å.
Element x y z (fractional)
Pb  0.0000  0.5000  0.0000  2 Mo 2.73
Pb  0.0000  0.0000  0.5000  2 Mo 2.73
Bi  0.5000  0.5000  0.5000  12 Pb 3.86
Pb  0.5000  0.0000  0.0000  2 Mo 2.73
Mo  0.0000  0.0000  0.0000  6 Pb 2.73

---

Q) Material: BiMoPb3
Method: DFT, PBE-GGA
State: optimized geometry

calculated density: 7.17 Mg/m³

Cell lengths 5.9869, 5.9869, 5.9869 Å; angles 90.00, 90.00, 90.00 degrees
Last column: nearest neighbours and their distance in Å.
Element x y z (fractional)
Mo  0.5000  0.5000  0.5000  12 Pb 4.23
Pb  0.0000  0.0000  0.5000  2 Bi 2.99
Pb  0.5000  0.0000  0.0000  2 Bi 2.99
Bi  0.0000  0.0000  0.0000  6 Pb 2.99
Pb  0.0000  0.5000  0.0000  2 Bi 2.99

---

Top of the stability list: P), leading by 0.909 eV/atom.

---

P) Material: Bi2MoPd
Method: DFT, PBE-GGA
State: optimized geometry

calculated density: 11.96 Mg/m³

Cell lengths 4.9564, 4.9564, 4.9564 Å; angles 60.00, 60.00, 60.00 degrees
Last column: nearest neighbours and their distance in Å.
Element x y z (fractional)
Bi  0.2500  0.2500  0.2500  4 Mo 3.04, 4 Pd 3.04
Bi  0.7500  0.7500  0.7500  4 Pd 3.04, 4 Mo 3.04
Mo  0.0000  0.0000  0.0000  8 Bi 3.04
Pd  0.5000  0.5000  0.5000  8 Bi 3.04

---

Q) Material: Bi2MoPd
Method: DFT, PBE-GGA
State: optimized geometry

calculated density: 8.33 Mg/m³

Cell lengths 6.2917, 6.2917, 7.6688 Å; angles 65.78, 65.78, 90.00 degrees
Last column: nearest neighbours and their distance in Å.
Element x y z (fractional)
Mo  0.5000  0.5000  0.0000  4 Bi 2.72
Pd  0.0000  0.0000  0.0000  4 Bi 2.72
Pd  0.7500  0.2500  0.5000  4 Bi 2.72
Mo  0.2500  0.7500  0.5000  4 Bi 2.72
Bi  0.1252  0.6250  0.2500  2 Mo 2.72, 2 Pd 2.72
Bi  0.8750  0.8748  0.7500  2 Mo 2.72, 2 Pd 2.72
Bi  0.3750  0.3752  0.7500  2 Mo 2.72, 2 Pd 2.72
Bi  0.6248  0.1250  0.2500  2 Mo 2.72, 2 Pd 2.72

---

Top of the stability list: P), leading by 0.366 eV/atom.

---

P) Material: Bi2MoPt
Method: DFT, PBE-GGA
State: optimized geometry

calculated density: 9.50 Mg/m³

Cell lengths 6.2679, 6.2679, 7.7079 Å; angles 66.01, 66.01, 90.00 degrees
Last column: nearest neighbours and their distance in Å.
Element x y z (fractional)
Bi  0.6286  0.1250  0.2500  2 Pt 2.71, 2 Mo 2.73
Mo  0.5000  0.5000  0.0000  4 Bi 2.73
Pt  0.7500  0.2500  0.5000  4 Bi 2.71
Bi  0.8750  0.8786  0.7500  2 Pt 2.71, 2 Mo 2.73
Mo  0.2500  0.7500  0.5000  4 Bi 2.73
Bi  0.1214  0.6250  0.2500  2 Pt 2.71, 2 Mo 2.73
Pt  0.0000  0.0000  0.0000  4 Bi 2.71
Bi  0.3750  0.3714  0.7500  2 Pt 2.71, 2 Mo 2.73

---

Q) Material: Bi2MoPt
Method: DFT, PBE-GGA
State: optimized geometry

calculated density: 13.73 Mg/m³

Cell lengths 4.9499, 4.9499, 4.9499 Å; angles 60.00, 60.00, 60.00 degrees
Last column: nearest neighbours and their distance in Å.
Element x y z (fractional)
Bi  0.7500  0.7500  0.7500  4 Pt 3.03, 4 Mo 3.03
Bi  0.2500  0.2500  0.2500  4 Pt 3.03, 4 Mo 3.03
Mo  0.0000  0.0000  0.0000  8 Bi 3.03
Pt  0.5000  0.5000  0.5000  8 Bi 3.03

---

Top of the stability list: Q), leading by 0.314 eV/atom.

---

P) Material: RbBi2Mo
Method: DFT, PBE-GGA
State: optimized geometry

calculated density: 5.09 Mg/m³

Cell lengths 7.1230, 7.1230, 9.2056 Å; angles 67.24, 67.24, 90.00 degrees
Last column: nearest neighbours and their distance in Å.
Element x y z (fractional)
Rb  0.2500  0.7500  0.5000  8 Bi 4.42-4.43
Bi  0.8741  0.1250  0.2500  2 Mo 2.62
Bi  0.8750  0.1241  0.7500  2 Mo 2.62
Rb  0.5000  0.5000  0.0000  8 Bi 4.42-4.43
Mo  0.7500  0.2500  0.5000  4 Bi 2.62
Mo  0.0000  0.0000  0.0000  4 Bi 2.62
Bi  0.8759  0.6250  0.2500  2 Mo 2.62
Bi  0.3750  0.1259  0.7500  2 Mo 2.62

---

Q) Material: RbBi2Mo
Method: DFT, PBE-GGA
State: optimized geometry

calculated density: 8.85 Mg/m³

Cell lengths 5.4175, 5.4175, 5.4175 Å; angles 60.00, 60.00, 60.00 degrees
Last column: nearest neighbours and their distance in Å.
Element x y z (fractional)
Rb  0.0000  0.0000  0.0000  8 Bi 3.32
Bi  0.7500  0.7500  0.7500  4 Mo 3.32, 4 Rb 3.32
Bi  0.2500  0.2500  0.2500  4 Mo 3.32, 4 Rb 3.32
Mo  0.5000  0.5000  0.5000  8 Bi 3.32

---

Top of the stability list: P), leading by 0.246 eV/atom.

---

P) Material: RbBiMo3
Method: DFT, PBE-GGA
State: optimized geometry

calculated density: 8.58 Mg/m³

Cell lengths 4.8295, 4.8295, 4.8295 Å; angles 90.00, 90.00, 90.00 degrees
Last column: nearest neighbours and their distance in Å.
Element x y z (fractional)
Bi  0.5000  0.5000  0.5000  12 Mo 3.41
Rb  0.0000  0.0000  0.0000  6 Mo 2.41
Mo  0.5000  0.0000  0.0000  2 Rb 2.41
Mo  0.0000  0.0000  0.5000  2 Rb 2.41
Mo  0.0000  0.5000  0.0000  2 Rb 2.41

---

Q) Material: RbBiMo3
Method: DFT, PBE-GGA
State: optimized geometry

calculated density: 5.98 Mg/m³

Cell lengths 5.4476, 5.4476, 5.4476 Å; angles 90.00, 90.00, 90.00 degrees
Last column: nearest neighbours and their distance in Å.
Element x y z (fractional)
Bi  0.0000  0.0000  0.0000  6 Mo 2.72
Mo  0.0000  0.5000  0.0000  2 Bi 2.72
Mo  0.5000  0.0000  0.0000  2 Bi 2.72
Mo  0.0000  0.0000  0.5000  2 Bi 2.72
Rb  0.5000  0.5000  0.5000  12 Mo 3.85

---

Top of the stability list: Q), leading by 0.719 eV/atom.

---

P) Material: RbBi3Mo
Method: DFT, PBE-GGA
State: optimized geometry

calculated density: 7.84 Mg/m³

Cell lengths 5.5529, 5.5529, 5.5529 Å; angles 90.00, 90.00, 90.00 degrees
Last column: nearest neighbours and their distance in Å.
Element x y z (fractional)
Bi  0.0000  0.0000  0.5000  2 Mo 2.78
Mo  0.0000  0.0000  0.0000  6 Bi 2.78
Bi  0.0000  0.5000  0.0000  2 Mo 2.78
Rb  0.5000  0.5000  0.5000  12 Bi 3.93
Bi  0.5000  0.0000  0.0000  2 Mo 2.78

---

Q) Material: RbBi3Mo
Method: DFT, PBE-GGA
State: optimized geometry

calculated density: 6.84 Mg/m³

Cell lengths 5.8115, 5.8115, 5.8115 Å; angles 90.00, 90.00, 90.00 degrees
Last column: nearest neighbours and their distance in Å.
Element x y z (fractional)
Rb  0.0000  0.0000  0.0000  6 Bi 2.91
Bi  0.0000  0.0000  0.5000  2 Rb 2.91
Bi  0.5000  0.0000  0.0000  2 Rb 2.91
Bi  0.0000  0.5000  0.0000  2 Rb 2.91
Mo  0.5000  0.5000  0.5000  12 Bi 4.11

---

Top of the stability list: P), leading by 2.080 eV/atom.

---

P) Material: Bi2MoRh
Method: DFT, PBE-GGA
State: optimized geometry

calculated density: 12.62 Mg/m³

Cell lengths 4.8601, 4.8601, 4.8601 Å; angles 60.00, 60.00, 60.00 degrees
Last column: nearest neighbours and their distance in Å.
Element x y z (fractional)
Rh  0.5000  0.5000  0.5000  8 Bi 2.98
Mo  0.0000  0.0000  0.0000  8 Bi 2.98
Bi  0.2500  0.2500  0.2500  4 Mo 2.98, 4 Rh 2.98
Bi  0.7500  0.7500  0.7500  4 Rh 2.98, 4 Mo 2.98

---

Q) Material: Bi2MoRh
Method: DFT, PBE-GGA
State: optimized geometry

calculated density: 8.50 Mg/m³

Cell lengths 6.3183, 6.3183, 7.5114 Å; angles 65.13, 65.13, 90.00 degrees
Last column: nearest neighbours and their distance in Å.
Element x y z (fractional)
Bi  0.3750  0.3623  0.7500  2 Rh 2.65, 2 Mo 2.74
Rh  0.7500  0.2500  0.5000  4 Bi 2.65
Mo  0.5000  0.5000  0.0000  4 Bi 2.74
Mo  0.2500  0.7500  0.5000  4 Bi 2.74
Bi  0.8750  0.8877  0.7500  2 Rh 2.65, 2 Mo 2.74
Bi  0.6377  0.1250  0.2500  2 Rh 2.65, 2 Mo 2.74
Rh  0.0000  0.0000  0.0000  4 Bi 2.65
Bi  0.1123  0.6250  0.2500  2 Rh 2.65, 2 Mo 2.74

---

Top of the stability list: P), leading by 0.504 eV/atom.